Record 1
Material: BeTcPt2
Method: DFT, PBE
State: relaxed

The structure in POSCAR format:
```
BeTcPt2
1.0
4.588 0.000 0.000
0.000 4.588 0.000
0.000 0.000 2.720
Be Tc Pt
1 1 2
Cartesian
0.000 0.000 0.000
2.294 2.294 0.000
0.000 2.294 1.360
2.294 0.000 1.360
```

Output
The electronic total energy is -26.53 eV/cell. Its symmetry is P4/mmm.

Record 2
Material: Be2AgBr
Method: DFT, PBE
State: relaxed

The structure in POSCAR format:
```
Be2AgBr
1.0
4.631 0.000 0.000
0.000 4.631 0.000
0.000 0.000 2.925
Be Ag Br
2 1 1
Cartesian
0.000 2.315 0.000
2.315 0.000 0.000
0.000 0.000 1.463
2.315 2.315 1.463
```

Output
The electronic total energy is -8.89 eV/cell. The energy above the most stable polymorph in this dataset comes out at 0.593 eV per atom. Its symmetry is P4/mmm.

Record 3
Material: TaFe2Ir
Method: DFT, PBE
State: relaxed

The structure in POSCAR format:
```
TaFe2Ir
1.0
-1.879 1.879 3.973
1.879 -1.879 3.973
1.879 1.879 -3.973
Ta Fe Ir
1 2 1
Cartesian
0.000 0.000 0.000
1.879 0.000 1.986
0.000 1.879 1.986
0.000 0.000 3.973
```

Output
The electronic total energy is -38.44 eV/cell. The energy above the most stable polymorph in this dataset comes out at 0.072 eV per atom. Its symmetry is I4/mmm.

Record 4
Material: ThPaAu2
Method: DFT, PBE
State: relaxed

The structure in POSCAR format:
```
ThPaAu2
1.0
4.680 0.000 0.000
0.000 4.680 0.000
0.000 0.000 4.335
Th Pa Au
1 1 2
Cartesian
0.000 0.000 0.000
2.340 2.340 0.000
0.000 2.340 2.168
2.340 0.000 2.168
```

Output
The electronic total energy is -24.96 eV/cell. The energy above the most stable polymorph in this dataset comes out at 0.011 eV per atom. Its symmetry is P4/mmm.

- What is the electronic total energy in the first record?
  -26.53 eV/cell

- Among the records above, which one has the lowest electronic total energy?
  TaFe2Ir

- What is the electronic total energy in the second record?
  -8.89 eV/cell